Entry 1:
The following is a PBE calculation of an optimized crystal structure of SmDyCuTe3, from OQMD via LeMat-Bulk.

The structure in POSCAR format:
```
SmDyCuTe3
1.0
3.5091 4.4567 -4.8208
-5.1192 -5.2988 1.0640
-7.7722 7.8255 1.5770
Te Cu Dy Sm
6 2 2 2
direct
0.3513 0.6487 0.5660
0.6487 0.3513 0.4340
0.3513 0.6487 0.9340
0.0918 0.9082 0.7500
0.6487 0.3513 0.0660
0.9082 0.0918 0.2500
0.5314 0.4686 0.2500
0.4686 0.5314 0.7500
0.0000 0.0000 0.0000
0.0000 0.0000 0.5000
0.7698 0.2302 0.7500
0.2302 0.7698 0.2500
```

VASP energy in eV/atom: -4.78
Symmetry: Cmcm
Magnetic moment in μB/cell: 0.02
ρ in g/cm3: 7.6

---

Entry 2:
The following is a PBE calculation of an optimized crystal structure of NdZrTa, from OQMD via LeMat-Bulk.

The structure in POSCAR format:
```
NdZrTa
1.0
-1.7038 -1.8013 4.1380
-1.4554 2.9749 3.5076
-4.6938 0.3822 1.0456
Zr Nd Ta
1 1 1
direct
0.7500 0.7500 0.7500
0.0000 0.0000 0.0000
0.2500 0.2500 0.2500
```

DFT formation energy in eV/atom: 1.431
Symmetry: F-43m
Magnetic moment in μB/cell: 0.01
ρ in g/cm3: 8.7

---

Entry 3:
The following is a PBE calculation of an optimized crystal structure of LiSiMo2, from OQMD via LeMat-Bulk.

The structure in POSCAR format:
```
LiSiMo2
1.0
-0.8192 -3.5193 -2.3205
-0.5304 -3.7861 1.9558
-3.8899 -1.8132 0.1496
Si Mo Li
1 2 1
direct
0.5000 0.5000 0.5000
0.0000 0.0000 0.0000
0.7500 0.7500 0.7500
0.2500 0.2500 0.2500
```

VASP energy in eV/atom: -7.32
Symmetry: F-43m
Magnetic moment in μB/cell: 0.00
ρ in g/cm3: 6.7

---

Entry 4:
The following is a PBE calculation of an optimized crystal structure of LuPaAs, from OQMD via LeMat-Bulk.

The structure in POSCAR format:
```
LuPaAs
1.0
0.0000 3.3926 3.3926
3.3926 0.0000 3.3926
3.3926 3.3926 0.0000
As Lu Pa
1 1 1
direct
0.7500 0.7500 0.7500
0.0000 0.0000 0.0000
0.5000 0.5000 0.5000
```

VASP energy in eV/atom: -6.43
Symmetry: F-43m
Magnetic moment in μB/cell: 1.83
ρ in g/cm3: 10.2

---

Entry 5:
The following is a PBE calculation of an optimized crystal structure of GaCuNiIr, from OQMD via LeMat-Bulk.

The structure in POSCAR format:
```
GaCuNiIr
1.0
3.4118 2.0719 1.2645
-0.2174 2.5811 3.2898
1.8647 -1.0382 3.6024
Ir Ni Ga Cu
1 1 1 1
direct
0.5000 0.5000 0.5000
0.2500 0.2500 0.2500
0.0000 0.0000 0.0000
0.7500 0.7500 0.7500
```

VASP energy in eV/atom: -5.33
Symmetry: F-43m
Magnetic moment in μB/cell: 0.00
ρ in g/cm3: 12.3

---

Entry 6:
The following is a PBE calculation of an optimized crystal structure of Ho3Mg3HgPd2, from OQMD via LeMat-Bulk.

The structure in POSCAR format:
```
Ho3Mg3HgPd2
1.0
7.5253 0.0000 0.0000
-3.7627 6.5171 0.0000
0.0000 0.0000 4.1093
Mg Pd Ho Hg
3 2 3 1
direct
0.2573 0.0000 0.5000
0.0000 0.2573 0.5000
0.7427 0.7427 0.5000
0.6667 0.3333 0.5000
0.3333 0.6667 0.5000
0.0000 0.5820 0.0000
0.4180 0.4180 0.0000
0.5820 0.0000 0.0000
0.0000 0.0000 0.0000
```

VASP energy in eV/atom: -3.80
Symmetry: P-62m
Magnetic moment in μB/cell: 0.00
ρ in g/cm3: 8.1

---

Entry 7:
The following is a PBE calculation of an optimized crystal structure of YHo2Mg3CdIn2, from OQMD via LeMat-Bulk.

The structure in POSCAR format:
```
YHo2Mg3CdIn2
1.0
4.5964 0.0000 0.0000
0.0000 6.5271 3.7584
0.0000 -6.5271 3.7584
In Mg Ho Cd Y
2 3 2 1 1
direct
0.5000 0.3330 0.6675
0.5000 0.6675 0.3330
0.5000 0.7595 0.7595
0.5000 0.2407 0.9998
0.5000 0.9998 0.2407
0.0000 0.0002 0.5730
0.0000 0.5730 0.0002
0.0000 0.9990 0.9990
0.0000 0.4273 0.4273
```

VASP energy in eV/atom: -3.33
Symmetry: Amm2
Magnetic moment in μB/cell: 0.00
ρ in g/cm3: 6.1

---

Entry 8:
The following is a PBE calculation of an optimized crystal structure of Er2LuSb3, from OQMD via LeMat-Bulk.

The structure in POSCAR format:
```
Er2LuSb3
1.0
-4.0306 -0.6911 1.4332
0.8228 -0.0358 -4.2544
1.9513 -10.4157 0.4650
Er Sb Lu
2 3 1
direct
0.6667 0.3333 0.3330
0.3333 0.6667 0.6670
0.6667 0.3333 0.8357
0.3333 0.6667 0.1643
0.0000 0.0000 0.5000
0.0000 0.0000 0.0000
```

VASP energy in eV/atom: -5.40
Symmetry: P-3m1
Magnetic moment in μB/cell: 0.01
ρ in g/cm3: 8.4

---

Entry 9:
The following is a PBE calculation of an optimized crystal structure of Ta13Co2, from OQMD via LeMat-Bulk.

The structure in POSCAR format:
```
Ta13Co2
1.0
-6.2302 -7.5631 2.0408
6.4119 -3.4254 6.8800
-2.3995 2.9804 3.7201
Ta Co
26 4
direct
0.0661 0.2673 0.5000
0.9339 0.7327 0.5000
0.6785 0.6785 0.7477
0.2673 0.0661 0.5000
0.8215 0.1785 0.7523
0.9613 0.6416 0.0000
0.1785 0.8215 0.2477
0.5661 0.2327 0.0000
0.7673 0.4339 0.0000
0.6416 0.9613 0.0000
0.0000 0.0000 0.5000
0.1416 0.5387 0.5000
0.5000 0.5000 0.0000
0.7327 0.9339 0.5000
0.8215 0.1785 0.2477
0.1785 0.8215 0.7523
0.3215 0.3215 0.2523
0.6785 0.6785 0.2523
0.5387 0.1416 0.5000
0.4339 0.7673 0.0000
0.3584 0.0387 0.0000
0.0387 0.3584 0.0000
0.4613 0.8584 0.5000
0.8584 0.4613 0.5000
0.2327 0.5661 0.0000
0.3215 0.3215 0.7477
0.1070 0.1070 0.0000
0.3930 0.6070 0.5000
0.8930 0.8930 0.0000
0.6070 0.3930 0.5000
```

DFT formation energy in eV/atom: 0.205
Symmetry: P4_2/mnm
Magnetic moment in μB/cell: 0.03
ρ in g/cm3: 15.3

---

Entry 10:
The following is a PBE calculation of an optimized crystal structure of Dy2Al3InNi2, from OQMD via LeMat-Bulk.

The structure in POSCAR format:
```
Dy2Al3InNi2
1.0
-3.2382 5.0221 -1.5847
-3.4380 1.3003 -4.9707
-2.1090 -4.3006 4.8515
In Al Dy Ni
1 3 2 2
direct
0.2772 0.2772 0.3627
0.3585 0.3585 0.8412
0.7205 0.7205 0.6359
0.6405 0.6405 0.1650
0.0592 0.0592 0.7998
0.9207 0.9207 0.1740
0.5458 0.5458 0.7308
0.4777 0.4777 0.2907
```

VASP energy in eV/atom: -4.64
Symmetry: Cm
Magnetic moment in μB/cell: 0.00
ρ in g/cm3: 6.7

---

Entry 11:
The following is a PBE calculation of an optimized crystal structure of PrErPI2, from OQMD via LeMat-Bulk.

The structure in POSCAR format:
```
PrErPI2
1.0
4.1638 0.0000 0.0000
-2.0819 3.6059 0.0000
0.0000 0.0000 11.0100
Er I P Pr
1 2 1 1
direct
0.0000 0.0000 0.8606
0.0000 0.0000 0.3352
0.3333 0.6667 0.6785
0.6667 0.3333 0.9876
0.3333 0.6667 0.1381
```

VASP energy in eV/atom: -5.08
Symmetry: P3m1
Magnetic moment in μB/cell: 0.00
ρ in g/cm3: 6.0

---

Entry 12:
The following is a PBE calculation of an optimized crystal structure of AuBr2O6, from OQMD via LeMat-Bulk.

The structure in POSCAR format:
```
AuBr2O6
1.0
-0.3742 2.8303 -2.4754
-0.4189 -4.2115 -5.1381
-6.1917 -1.7308 -2.1532
O Au Br
6 1 2
direct
0.9672 0.6021 0.6978
0.8651 0.7413 0.9445
0.0328 0.3979 0.3022
0.9119 0.2574 0.2490
0.1349 0.2587 0.0555
0.0881 0.7426 0.7510
0.0000 0.0000 0.0000
0.5935 0.7967 0.3419
0.4065 0.2033 0.6581
```

VASP energy in eV/atom: -3.75
Symmetry: P-1
ρ in g/cm3: 5.0

---

Entry 13:
The following is a PBE calculation of an optimized crystal structure of ZrFeNiSb, from OQMD via LeMat-Bulk.

The structure in POSCAR format:
```
ZrFeNiSb
1.0
0.0000 3.2188 3.2188
3.2188 0.0000 3.2188
3.2188 3.2188 0.0000
Sb Ni Fe Zr
1 1 1 1
direct
0.0000 0.0000 0.0000
0.5000 0.5000 0.5000
0.7500 0.7500 0.7500
0.2500 0.2500 0.2500
```

VASP energy in eV/atom: -6.66
Symmetry: F-43m
Magnetic moment in μB/cell: 2.19
ρ in g/cm3: 8.2

---

Entry 14:
The following is a PBE calculation of an optimized crystal structure of TbCdInTe3, from OQMD via LeMat-Bulk.

The structure in POSCAR format:
```
TbCdInTe3
1.0
2.2278 -7.6587 0.0000
2.2278 7.6587 0.0000
0.0000 0.0000 11.6690
In Cd Te Tb
2 2 6 2
direct
0.7411 0.2589 0.7500
0.2589 0.7411 0.2500
0.9648 0.0352 0.2500
0.0352 0.9648 0.7500
0.8612 0.1388 0.4494
0.1388 0.8612 0.5506
0.5832 0.4168 0.2500
0.4168 0.5832 0.7500
0.8612 0.1388 0.0506
0.1388 0.8612 0.9494
0.5000 0.5000 0.0000
0.5000 0.5000 0.5000
```

VASP energy in eV/atom: -3.71
Symmetry: Cmcm
Magnetic moment in μB/cell: 0.01
ρ in g/cm3: 6.4

---

Entry 15:
The following is a PBE calculation of an optimized crystal structure of PmPuGa, from OQMD via LeMat-Bulk.

The structure in POSCAR format:
```
PmPuGa
1.0
-0.3017 3.4155 3.5150
-3.8222 3.0807 0.1083
-3.3827 -0.4079 3.5359
Ga Pu Pm
1 1 1
direct
0.2500 0.2500 0.2500
0.0000 0.0000 0.0000
0.7500 0.7500 0.7500
```

VASP energy in eV/atom: -7.06
Symmetry: F-43m
Magnetic moment in μB/cell: 6.06
ρ in g/cm3: 9.1

---

Entry 16:
The following is a PBE calculation of an optimized crystal structure of YErGa4Au2, from OQMD via LeMat-Bulk.

The structure in POSCAR format:
```
YErGa4Au2
1.0
-4.9706 -2.3393 3.7509
1.7104 -5.2764 -1.0240
3.6063 -3.4507 2.6270
Ga Y Er Au
4 1 1 2
direct
0.7001 0.8802 0.8802
0.2999 0.8802 0.8802
0.1997 0.1198 0.1198
0.8003 0.1198 0.1198
0.5000 0.5918 0.5918
0.0000 0.4081 0.4081
0.0000 0.7005 0.7005
0.5000 0.2996 0.2996
```

VASP energy in eV/atom: -4.37
Symmetry: Amm2
Magnetic moment in μB/cell: 0.00
ρ in g/cm3: 10.0

---

Entry 17:
The following is a PBE calculation of an optimized crystal structure of LiInBAu, from OQMD via LeMat-Bulk.

The structure in POSCAR format:
```
LiInBAu
1.0
0.0000 3.0864 3.0864
3.0864 0.0000 3.0864
3.0864 3.0864 0.0000
Li Au In B
1 1 1 1
direct
0.5000 0.5000 0.5000
0.7500 0.7500 0.7500
0.2500 0.2500 0.2500
0.0000 0.0000 0.0000
```

VASP energy in eV/atom: -3.23
Symmetry: F-43m
ρ in g/cm3: 9.3

---

Entry 18:
The following is a PBE calculation of an optimized crystal structure of FeCuReGe, from OQMD via LeMat-Bulk.

The structure in POSCAR format:
```
FeCuReGe
1.0
1.0026 0.5536 4.0473
-2.7640 1.7743 2.6277
-1.8706 -2.3220 2.9667
Ge Fe Re Cu
1 1 1 1
direct
0.0000 0.0000 0.0000
0.7500 0.7500 0.7500
0.2500 0.2500 0.2500
0.5000 0.5000 0.5000
```

VASP energy in eV/atom: -6.97
Symmetry: F-43m
Magnetic moment in μB/cell: 2.45
ρ in g/cm3: 11.9

---

Entry 19:
The following is a PBE calculation of an optimized crystal structure of InCu7, from OQMD via LeMat-Bulk.

The structure in POSCAR format:
```
InCu7
1.0
-0.0945 -1.3018 -2.3008
-1.4872 -2.7432 1.6132
-29.2404 12.4248 -5.8284
Cu In
14 2
direct
0.0000 0.0000 0.3616
0.5000 0.5000 0.4015
0.0000 0.0000 0.6776
0.0000 0.0000 0.5985
0.0000 0.0000 0.4407
0.5000 0.5000 0.5593
0.5000 0.5000 0.4804
0.0000 0.0000 0.5196
0.0000 0.0000 0.2825
0.5000 0.5000 0.7175
0.5000 0.5000 0.3224
0.5000 0.5000 0.6384
0.5000 0.5000 0.2438
0.0000 0.0000 0.7562
0.5000 0.5000 0.8111
0.0000 0.0000 0.1890
```

VASP energy in eV/atom: -3.53
Symmetry: Pmmn
ρ in g/cm3: 6.2

---

Entry 20:
The following is a PBE calculation of an optimized crystal structure of KGdBi4, from OQMD via LeMat-Bulk.

The structure in POSCAR format:
```
KGdBi4
1.0
2.8052 1.6196 7.8449
-2.8052 1.6196 7.8449
0.0000 -3.2392 7.8449
Bi Gd K
4 1 1
direct
0.7692 0.7692 0.7692
0.3579 0.3579 0.3579
0.2308 0.2308 0.2308
0.6421 0.6421 0.6421
0.0000 0.0000 0.0000
0.5000 0.5000 0.5000
```

VASP energy in eV/atom: -3.68
Symmetry: R-3m
Magnetic moment in μB/cell: 0.01
ρ in g/cm3: 8.0